# Li2Cu2Pd

An optimized crystal structure of Li2Cu2Pd (PBE, Alexandria via LeMat-Bulk).

Geometry as extended XYZ:
```
5
Lattice="-1.732 1.732 5.918 1.732 -1.732 5.918 1.732 1.732 -5.918" Properties=species:S:1:pos:R:3 pbc="T T T"
Li 1.732 0.000 2.959
Li 0.000 1.732 2.959
Cu 0.000 0.000 1.156
Cu 0.000 0.000 10.679
Pd 0.000 0.000 5.918
```

Values from the calculation:
distance to the lowest polymorph of the same formula = 346.8 meV/atom
N(E_F) = 3.1 states/eV per cell
formation energy from the elements = 0.146 eV per atom
spin magnetization = 0.0000 μB/atom
calculated total energy = -3.297 eV/atom
space group = I4/mmm, No. 139
crystal system = tetragonal

# Sm2Dy4Sc3

An optimized crystal structure of Sm2Dy4Sc3 (PBE, Alexandria via LeMat-Bulk).

Geometry as extended XYZ:
```
18
Lattice="7.778 -5.675 0.000 7.778 5.675 0.000 -0.560 0.000 6.016" Properties=species:S:1:pos:R:3 pbc="T T T"
Sm 5.570 4.045 4.071
Sm 9.145 4.045 4.952
Sm 5.850 -4.045 1.064
Sm 9.425 -4.045 1.944
Dy 2.892 1.581 5.075
Dy 6.450 1.584 5.956
Dy 3.172 -1.581 2.067
Dy 8.264 1.584 3.068
Dy 6.730 -1.584 2.948
Dy 11.823 1.581 3.949
Dy 8.545 -1.584 0.060
Dy 12.103 -1.581 0.941
Sc 7.638 4.519 1.504
Sc 4.962 1.138 2.491
Sc 4.681 -1.138 5.499
Sc 10.313 1.138 0.517
Sc 10.033 -1.138 3.524
Sc 7.357 -4.519 4.512
```

Values from the calculation:
distance to the lowest polymorph of the same formula = 46.5 meV/atom
N(E_F) = 25.5 states/eV per cell
formation energy from the elements = 0.110 eV per atom
spin magnetization = 0.0000 μB/atom
calculated total energy = -5.095 eV/atom
space group = C2/c, No. 15
crystal system = monoclinic